# 1
DFT (GGA-PBE) results for an optimized crystal structure of Ba4Au3.

The space group is P6/mmm (No. 191) and the conventional cell measures 6.6248, 6.6248 and 6.5804 Å, with angles of 90.00, 90.00 and 120.00 degrees. The distinct sites, in fractional coordinates, are Ba at (0.0000, 0.0000, 0.2366), Ba at (0.3333, 0.6667, 0.5000) and Au at (0.0000, 0.5000, 0.0000).

The uncorrected energy comes out at -2.6761 eV/atom. The calculation puts the energy above the most stable polymorph in this dataset at 446 meV/atom.

# 2
DFT (GGA-PBE) results for an optimized crystal structure of PrEr2Mg9.

The space group is R-3m (No. 166, hexagonal axes) and the conventional cell measures 6.0439, 6.0439 and 29.2716 Å, with angles of 90.00, 90.00 and 120.00 degrees. The distinct sites, in fractional coordinates, are Pr at (0.0000, 0.0000, 0.0000), Er at (0.0000, 0.0000, 0.1447), Mg at (0.0000, 0.0000, 0.3341), Mg at (0.0000, 0.0000, 0.5000) and Mg at (0.0053, 0.5026, 0.9149).

The uncorrected energy comes out at -2.4045 eV/atom.

# 3
DFT (GGA-PBE) results for an optimized crystal structure of Ca3PdPt.

The space group is P2_1/c (No. 14) and the conventional cell measures 8.9365, 7.5410 and 8.1912 Å, with angles of 90.00, 106.53 and 90.00 degrees. The distinct sites, in fractional coordinates, are Ca at (0.0552, 0.0008, 0.2119), Ca at (0.2843, 0.1532, 0.6070), Ca at (0.3530, 0.6904, 0.4803), Pd at (0.4170, 0.0375, 0.3183) and Pt at (0.0633, 0.6749, 0.0283).

The uncorrected energy comes out at -4.1645 eV/atom. The calculation puts the energy above the most stable polymorph in this dataset at 0 meV/atom.

# 4
DFT (GGA-PBE) results for an optimized crystal structure of Cr2Ni2Ir.

The space group is P-1 (No. 2) and the conventional cell measures 2.5817, 4.4755 and 5.6814 Å, with angles of 97.46, 102.94 and 106.47 degrees. The distinct sites, in fractional coordinates, are Cr at (0.0940, 0.4047, 0.2959), Ni at (0.3051, 0.2032, 0.9059) and Ir at (0.5000, 0.0000, 0.5000).

The uncorrected energy comes out at -7.9183 eV/atom. The calculation puts the energy above the most stable polymorph in this dataset at 0 meV/atom.

# 5
DFT (GGA-PBE) results for an optimized crystal structure of AcEuHoHg.

The space group is F-43m (No. 216) and the conventional cell measures 8.0399, 8.0399 and 8.0399 Å, with angles of 90.00, 90.00 and 90.00 degrees. The distinct sites, in fractional coordinates, are Ac at (0.0000, 0.0000, 0.0000), Eu at (0.2500, 0.2500, 0.7500), Ho at (0.2500, 0.2500, 0.2500) and Hg at (0.0000, 0.0000, 0.5000).

The uncorrected energy comes out at -4.7671 eV/atom.

# 6
DFT (GGA-PBE) results for an optimized crystal structure of NaLa2AlO5.

The space group is I4/mcm (No. 140) and the conventional cell measures 6.9565, 6.9565 and 10.9069 Å, with angles of 90.00, 90.00 and 90.00 degrees. The distinct sites, in fractional coordinates, are Na at (0.0000, 0.0000, 0.2500), La at (0.1847, 0.3153, 0.0000), Al at (0.0000, 0.5000, 0.2500), O at (0.0000, 0.0000, 0.0000) and O at (0.1343, 0.3657, 0.3587).

As for the formation energy (no corrections): -2959 meV per atom. The uncorrected energy comes out at -7.3709 eV/atom.